# ZrS2Br PBE relaxed
# * polymorph energy (0 for the lowest one): 18.0 kJ per mole of atoms
# * ΔE_f (raw): -961 meV/atom
data_ZrS2Br
_chemical_formula_sum 'Zr3 S6 Br3'
_space_group_name_H-M_alt 'R -3 m'
_space_group_IT_number 166
_space_group_name_Hall '-R 3 2"'
_cell_length_a 3.7165
_cell_length_b 3.7165
_cell_length_c 24.0347
_cell_angle_alpha 90.00
_cell_angle_beta 90.00
_cell_angle_gamma 120.00
loop_
_atom_site_label
_atom_site_type_symbol
_atom_site_fract_x
_atom_site_fract_y
_atom_site_fract_z
Zr1 Zr 0.0000 0.0000 0.0000
S1 S 0.0000 0.0000 0.3942
Br1 Br 0.0000 0.0000 0.5000

# Ac6Sn3Ru PBE relaxed
# * formation enthalpy at 0 K: -0.4299 eV per atom
data_Ac6Sn3Ru
_chemical_formula_sum 'Ac12 Sn6 Ru2'
_space_group_name_H-M_alt 'P 1 21/c 1'
_space_group_IT_number 14
_space_group_name_Hall '-P 2ybc'
_cell_length_a 6.641
_cell_length_b 9.243
_cell_length_c 13.702
_cell_angle_alpha 90.00
_cell_angle_beta 118.21
_cell_angle_gamma 90.00
loop_
_atom_site_label
_atom_site_type_symbol
_atom_site_fract_x
_atom_site_fract_y
_atom_site_fract_z
Ac1 Ac 0.043 0.193 0.440
Ac2 Ac 0.303 0.654 0.426
Ac3 Ac 0.344 0.033 0.233
Sn1 Sn 0.152 0.120 0.737
Sn2 Sn 0.500 0.000 0.500
Ru1 Ru 0.000 0.000 0.000

# Na2Ga4CuPt3 PBE relaxed
# * formation enthalpy at 0 K: -0.4734 eV per atom
data_Na2Ga4CuPt3
_chemical_formula_sum 'Na2 Ga4 Cu1 Pt3'
_space_group_name_H-M_alt 'P -4 m 2'
_space_group_IT_number 115
_space_group_name_Hall 'P -4 -2'
_cell_length_a 4.219
_cell_length_b 4.219
_cell_length_c 10.538
_cell_angle_alpha 90.00
_cell_angle_beta 90.00
_cell_angle_gamma 90.00
loop_
_atom_site_label
_atom_site_type_symbol
_atom_site_fract_x
_atom_site_fract_y
_atom_site_fract_z
Na1 Na 0.000 0.500 0.246
Ga1 Ga 0.000 0.000 0.500
Ga2 Ga 0.000 0.500 0.870
Ga3 Ga 0.500 0.500 0.500
Cu1 Cu 0.500 0.500 0.000
Pt1 Pt 0.000 0.000 0.000
Pt2 Pt 0.000 0.500 0.635

# NbAuBr2 PBE relaxed
# * polymorph energy (0 for the lowest one): 59.3 kJ per mole of atoms
# * ΔE_f (raw): 434 meV/atom
data_NbAuBr2
_chemical_formula_sum 'Nb4 Au4 Br8'
_space_group_name_H-M_alt 'F m -3 m'
_space_group_IT_number 225
_space_group_name_Hall '-F 4 2 3'
_cell_length_a 6.968
_cell_length_b 6.968
_cell_length_c 6.968
_cell_angle_alpha 90.00
_cell_angle_beta 90.00
_cell_angle_gamma 90.00
loop_
_atom_site_label
_atom_site_type_symbol
_atom_site_fract_x
_atom_site_fract_y
_atom_site_fract_z
Nb1 Nb 0.000 0.000 0.000
Au1 Au 0.000 0.000 0.500
Br1 Br 0.250 0.250 0.250

# Rb3Sb2Cl8 PBE relaxed
# * ΔE_f (raw): -1263 meV/atom
data_Rb3Sb2Cl8
_chemical_formula_sum 'Rb3 Sb2 Cl8'
_space_group_name_H-M_alt 'P -1'
_space_group_IT_number 2
_space_group_name_Hall '-P 1'
_cell_length_a 7.985
_cell_length_b 7.993
_cell_length_c 9.217
_cell_angle_alpha 69.11
_cell_angle_beta 69.14
_cell_angle_gamma 68.00
loop_
_atom_site_label
_atom_site_type_symbol
_atom_site_fract_x
_atom_site_fract_y
_atom_site_fract_z
Rb1 Rb 0.000 0.000 0.000
Rb2 Rb 0.179 0.180 0.385
Sb1 Sb 0.464 0.464 0.698
Cl1 Cl 0.202 0.788 0.703
Cl2 Cl 0.213 0.799 0.296
Cl3 Cl 0.280 0.282 0.674
Cl4 Cl 0.339 0.339 0.000

# PmNp6S8 PBE relaxed
# * ΔE_f (raw): -1467 meV/atom
data_PmNp6S8
_chemical_formula_sum 'Pm4 Np24 S32'
_space_group_name_H-M_alt 'F m -3 m'
_space_group_IT_number 225
_space_group_name_Hall '-F 4 2 3'
_cell_length_a 11.075
_cell_length_b 11.075
_cell_length_c 11.075
_cell_angle_alpha 90.00
_cell_angle_beta 90.00
_cell_angle_gamma 90.00
loop_
_atom_site_label
_atom_site_type_symbol
_atom_site_fract_x
_atom_site_fract_y
_atom_site_fract_z
Pm1 Pm 0.000 0.000 0.000
Np1 Np 0.000 0.250 0.250
S1 S 0.000 0.000 0.255
S2 S 0.250 0.250 0.250

# CaZnBr2 PBE relaxed
# * polymorph energy (0 for the lowest one): 26.7 kJ per mole of atoms
# * ΔE_f (raw): -999 meV/atom
data_CaZnBr2
_chemical_formula_sum 'Ca1 Zn1 Br2'
_space_group_name_H-M_alt 'P 4 m m'
_space_group_IT_number 99
_space_group_name_Hall 'P 4 -2'
_cell_length_a 3.732
_cell_length_b 3.732
_cell_length_c 8.402
_cell_angle_alpha 90.00
_cell_angle_beta 90.00
_cell_angle_gamma 90.00
loop_
_atom_site_label
_atom_site_type_symbol
_atom_site_fract_x
_atom_site_fract_y
_atom_site_fract_z
Ca1 Ca 0.000 0.000 0.000
Zn1 Zn 0.500 0.500 0.238
Br1 Br 0.000 0.000 0.381
Br2 Br 0.500 0.500 0.809